# 1
First-principles (PBEsol) data for an optimized crystal structure of ReOsW2, as listed in the Alexandria database.

a b c (Å): 4.4007 4.4007 4.4007
angles (deg): 60.00 60.00 60.00
Element x y z (fractional)
Os (0.5000, 0.5000, 0.5000)
Re (0.2500, 0.2500, 0.2500)
W (0.0000, 0.0000, 0.0000)
W (0.7500, 0.7500, 0.7500)

E_form	0.30	eV/atom
calculated density	20.50	g/cm3
N(E_F)	1.017	states/eV per atom



# 2
First-principles (PBEsol) data for an optimized crystal structure of YRe2Os, as listed in the Alexandria database.

a b c (Å): 2.7974 2.7974 8.4925
angles (deg): 90.00 90.00 90.00
Element x y z (fractional)
Os (0.5000, 0.5000, 0.5000)
Re (0.0000, 0.0000, 0.7145)
Re (0.0000, 0.0000, 0.2855)
Y (0.5000, 0.5000, 0.0000)

E_form	0.29	eV/atom
calculated density	16.28	g/cm3
N(E_F)	0.824	states/eV per atom



# 3
First-principles (PBEsol) data for an optimized crystal structure of Y2ReOs, as listed in the Alexandria database.

a b c (Å): 3.3576 4.7893 4.7893
angles (deg): 90.00 90.00 90.00
Element x y z (fractional)
Os (0.5000, 0.5000, 0.5000)
Re (0.5000, 0.0000, 0.0000)
Y (0.0000, 0.0000, 0.5000)
Y (0.0000, 0.5000, 0.0000)

E_form	0.29	eV/atom
calculated density	11.95	g/cm3
N(E_F)	1.262	states/eV per atom



# 4
First-principles (PBEsol) data for an optimized crystal structure of YReOs2, as listed in the Alexandria database.

a b c (Å): 2.9879 4.6686 4.6686
angles (deg): 95.20 90.00 90.00
Element x y z (fractional)
Os (0.0000, 0.5000, 0.0000)
Os (0.0000, 0.0000, 0.5000)
Re (0.5000, 0.0000, 0.0000)
Y (0.5000, 0.5000, 0.5000)

E_form	0.35	eV/atom
calculated density	16.79	g/cm3
N(E_F)	1.009	states/eV per atom



# 5
First-principles (PBEsol) data for an optimized crystal structure of YRe2Os, as listed in the Alexandria database.

a b c (Å): 2.9012 4.7581 5.3118
angles (deg): 106.16 105.85 90.00
Element x y z (fractional)
Os (0.0000, 0.5000, 0.0000)
Re (0.2768, 0.2901, 0.5536)
Re (0.7232, 0.7099, 0.4464)
Y (0.5000, 0.0000, 0.0000)

E_form	0.30	eV/atom
calculated density	16.02	g/cm3
N(E_F)	0.899	states/eV per atom



# 6
First-principles (PBEsol) data for an optimized crystal structure of YReOs2, as listed in the Alexandria database.

a b c (Å): 2.8575 4.6407 5.7161
angles (deg): 113.95 104.47 90.00
Element x y z (fractional)
Os (0.0303, 0.0303, 0.0605)
Os (0.7489, 0.2489, 0.4978)
Re (0.4685, 0.4685, 0.9370)
Y (0.2523, 0.7523, 0.5046)

E_form	0.32	eV/atom
calculated density	16.34	g/cm3
N(E_F)	0.952	states/eV per atom



# 7
First-principles (PBEsol) data for an optimized crystal structure of YReOs2, as listed in the Alexandria database.

a b c (Å): 2.8038 3.7666 6.4665
angles (deg): 90.00 90.00 90.00
Element x y z (fractional)
Os (0.0000, 0.0000, 0.0475)
Os (0.5000, 0.5000, 0.2516)
Re (0.0000, 0.0000, 0.4438)
Y (0.5000, 0.5000, 0.7571)

E_form	0.36	eV/atom
calculated density	15.94	g/cm3
N(E_F)	1.203	states/eV per atom



# 8
First-principles (PBEsol) data for an optimized crystal structure of YReOs2, as listed in the Alexandria database.

a b c (Å): 4.4932 4.4932 4.4932
angles (deg): 91.72 119.01 119.01
Element x y z (fractional)
Os (0.5000, 0.7500, 0.2500)
Os (0.5000, 0.2500, 0.7500)
Re (0.0000, 0.0000, 0.0000)
Y (0.0000, 0.5000, 0.5000)

E_form	0.43	eV/atom
calculated density	16.73	g/cm3
N(E_F)	1.275	states/eV per atom



Q: What is the E_form in the seventh record?
A: 0.36 eV/atom